Arrangement a

# La3PtPb2

A relaxed La3PtPb2 crystal (PBE-GGA, the Alexandria database).

Cell: 6.708 8.718 7.637 Å, 106.95 116.05 90.00°
Fractional positions:
Pb 0.524 0.013 0.303
Pb 0.476 0.987 0.697
Pb 0.779 0.513 0.303
Pb 0.221 0.487 0.697
Pt 0.893 0.250 0.000
Pt 0.107 0.750 0.000
La 0.736 0.380 0.686
La 0.949 0.880 0.686
La 0.051 0.120 0.314
La 0.656 0.750 0.000
La 0.344 0.250 0.000
La 0.264 0.620 0.314

Computed properties:
- density of states at the Fermi level (states/eV/f.u.) = 4.01
- space-group type = No. 15
- total magnetization (μB/atom) = 0.0000

***

Arrangement b

# La3PtPb2

A relaxed La3PtPb2 crystal (PBE-GGA, the Alexandria database).

Cell: 4.742 12.264 12.966 Å, 90.00 90.00 90.00°
Fractional positions:
Pt 0.250 0.129 0.120
Pt 0.750 0.629 0.380
Pt 0.750 0.871 0.880
Pt 0.250 0.371 0.620
La 0.750 0.548 0.618
La 0.250 0.048 0.882
La 0.250 0.696 0.240
La 0.750 0.196 0.260
La 0.250 0.452 0.382
La 0.750 0.871 0.444
La 0.750 0.952 0.118
La 0.250 0.804 0.740
La 0.750 0.304 0.760
La 0.250 0.371 0.056
La 0.750 0.629 0.944
La 0.250 0.129 0.556
Pb 0.250 0.996 0.310
Pb 0.750 0.004 0.690
Pb 0.750 0.302 0.497
Pb 0.750 0.496 0.190
Pb 0.250 0.802 0.003
Pb 0.250 0.504 0.810
Pb 0.250 0.698 0.503
Pb 0.750 0.198 0.997

Computed properties:
- density of states at the Fermi level (states/eV/f.u.) = 4.74
- space-group type = No. 62
- total magnetization (μB/atom) = 0.0648

***

Least stable of them? arrangement a.

***

Arrangement a

# LaPt3Pb

A relaxed LaPt3Pb crystal (PBE-GGA, the Alexandria database).

Cell: 5.298 5.298 5.298 Å, 90.00 90.00 90.00°
Fractional positions:
Pt 0.000 0.500 0.000
Pt 0.500 0.000 0.000
Pt 0.000 0.000 0.500
La 0.000 0.000 0.000
Pb 0.500 0.500 0.500

Computed properties:
- density of states at the Fermi level (states/eV/f.u.) = 5.18
- space-group type = No. 221
- total magnetization (μB/atom) = 0.0000

***

Arrangement b

# LaPt3Pb

A relaxed LaPt3Pb crystal (PBE-GGA, the Alexandria database).

Cell: 5.086 5.086 5.086 Å, 90.00 90.00 90.00°
Fractional positions:
La 0.500 0.500 0.500
Pb 0.000 0.000 0.000
Pt 0.000 0.000 0.500
Pt 0.000 0.500 0.000
Pt 0.500 0.000 0.000

Computed properties:
- density of states at the Fermi level (states/eV/f.u.) = 2.05
- space-group type = No. 221
- total magnetization (μB/atom) = 0.0000

***

Least stable of them? arrangement a.

***

Arrangement a

# La2PtPb2

A relaxed La2PtPb2 crystal (PBE-GGA, the Alexandria database).

Cell: 7.530 7.530 5.052 Å, 90.00 90.00 90.00°
Fractional positions:
Pb 0.146 0.354 0.000
Pb 0.354 0.854 0.000
Pb 0.854 0.646 0.000
Pb 0.646 0.146 0.000
Pt 0.500 0.500 0.000
Pt 0.000 0.000 0.000
La 0.830 0.330 0.500
La 0.330 0.170 0.500
La 0.170 0.670 0.500
La 0.670 0.830 0.500

Computed properties:
- density of states at the Fermi level (states/eV/f.u.) = 3.21
- space-group type = No. 127
- total magnetization (μB/atom) = 0.0000

***

Arrangement b

# La2PtPb2

A relaxed La2PtPb2 crystal (PBE-GGA, the Alexandria database).

Cell: 7.788 7.788 5.277 Å, 90.00 90.00 90.00°
Fractional positions:
Pb 0.641 0.859 0.500
Pb 0.859 0.359 0.500
Pb 0.141 0.641 0.500
Pb 0.359 0.141 0.500
La 0.331 0.831 0.000
La 0.169 0.331 0.000
La 0.831 0.669 0.000
La 0.669 0.169 0.000
Pt 0.500 0.500 0.000
Pt 0.000 0.000 0.000

Computed properties:
- density of states at the Fermi level (states/eV/f.u.) = 3.08
- space-group type = No. 127
- total magnetization (μB/atom) = 0.0000

***

Least stable of them? arrangement b.